(1)
# LiMg2ZrCu PBEsol optimized geometry
# Magnetization in μB per cell: 0.00
# DFT formation energy in meV per atom: 392
data_LiMg2ZrCu
_cell_length_a 4.5285
_cell_length_b 4.5285
_cell_length_c 4.2602
_cell_angle_alpha 90.00
_cell_angle_beta 90.00
_cell_angle_gamma 90.00
_symmetry_space_group_name_H-M 'P 4/m m m'
_symmetry_Int_Tables_number 123
_symmetry_space_group_name_Hall '-P 4 2'
loop_
_atom_site_label
_atom_site_fract_x
_atom_site_fract_y
_atom_site_fract_z
_atom_site_occupancy
Li1 0.0000 0.0000 0.0000 1
Mg1 0.0000 0.5000 0.0000 1
Zr1 0.5000 0.5000 0.5000 1
Cu1 0.0000 0.0000 0.5000 1



(2)
# LiScCo2Ge PBEsol optimized geometry
# Magnetization in μB per cell: 0.63
# DFT formation energy in meV per atom: 1107
data_LiScCo2Ge
_cell_length_a 4.2719
_cell_length_b 4.2719
_cell_length_c 4.5383
_cell_angle_alpha 90.00
_cell_angle_beta 90.00
_cell_angle_gamma 90.00
_symmetry_space_group_name_H-M 'P 4/m m m'
_symmetry_Int_Tables_number 123
_symmetry_space_group_name_Hall '-P 4 2'
loop_
_atom_site_label
_atom_site_fract_x
_atom_site_fract_y
_atom_site_fract_z
_atom_site_occupancy
Li1 0.0000 0.0000 0.0000 1
Sc1 0.0000 0.0000 0.5000 1
Co1 0.0000 0.5000 0.5000 1
Ge1 0.5000 0.5000 0.0000 1



(3)
# OsCS2Cl PBEsol optimized geometry
# Magnetization in μB per cell: 1.66
# Formation energy without anion corrections in meV per atom: 1691
data_OsCS2Cl
_cell_length_a 4.4634
_cell_length_b 4.4634
_cell_length_c 4.8857
_cell_angle_alpha 90.00
_cell_angle_beta 90.00
_cell_angle_gamma 90.00
_symmetry_space_group_name_H-M 'P 4/m m m'
_symmetry_Int_Tables_number 123
_symmetry_space_group_name_Hall '-P 4 2'
loop_
_atom_site_label
_atom_site_fract_x
_atom_site_fract_y
_atom_site_fract_z
_atom_site_occupancy
Os1 0.0000 0.0000 0.0000 1
C1 0.5000 0.5000 0.5000 1
S1 0.0000 0.5000 0.0000 1
Cl1 0.0000 0.0000 0.5000 1



(4)
# ZrTlP2 PBEsol optimized geometry
# Energy relative to the lowest polymorph listed for this composition in meV/atom: 251
# Magnetization in μB per cell: 0.00
# DFT formation energy in meV per atom: -138
data_ZrTlP2
_cell_length_a 6.0932
_cell_length_b 6.0932
_cell_length_c 11.5754
_cell_angle_alpha 90.00
_cell_angle_beta 90.00
_cell_angle_gamma 90.00
_symmetry_space_group_name_H-M 'I -4 2 d'
_symmetry_Int_Tables_number 122
_symmetry_space_group_name_Hall 'I -4 2bw'
loop_
_atom_site_label
_atom_site_fract_x
_atom_site_fract_y
_atom_site_fract_z
_atom_site_occupancy
Zr1 0.0000 0.0000 0.0000 1
Tl1 0.0000 0.0000 0.5000 1
P1 0.2251 0.2500 0.1250 1



(5)
# HgTeIr2 PBEsol optimized geometry
# Energy relative to the lowest polymorph listed for this composition in meV/atom: 0
# Magnetization in μB per cell: 0.00
# Formation energy without anion corrections in meV per atom: 470
data_HgTeIr2
_cell_length_a 12.0863
_cell_length_b 2.9510
_cell_length_c 4.5613
_cell_angle_alpha 90.00
_cell_angle_beta 105.21
_cell_angle_gamma 90.00
_symmetry_space_group_name_H-M 'C 1 m 1'
_symmetry_Int_Tables_number 8
_symmetry_space_group_name_Hall 'C -2y'
loop_
_atom_site_label
_atom_site_fract_x
_atom_site_fract_y
_atom_site_fract_z
_atom_site_occupancy
Hg1 0.0000 0.0000 0.0000 1
Te1 0.2322 0.0000 0.7020 1
Ir1 0.0392 0.5000 0.5258 1
Ir2 0.3458 0.5000 0.3899 1



(6)
# CoRh5 PBEsol optimized geometry
# Magnetization in μB per cell: 5.33
# DFT formation energy in meV per atom: 57
data_CoRh5
_cell_length_a 4.2604
_cell_length_b 2.6682
_cell_length_c 13.7762
_cell_angle_alpha 90.00
_cell_angle_beta 90.00
_cell_angle_gamma 90.00
_symmetry_space_group_name_H-M 'A m m 2'
_symmetry_Int_Tables_number 38
_symmetry_space_group_name_Hall 'A 2 -2'
loop_
_atom_site_label
_atom_site_fract_x
_atom_site_fract_y
_atom_site_fract_z
_atom_site_occupancy
Co1 0.0000 0.0000 0.0000 1
Rh1 0.0000 0.0000 0.3374 1
Rh2 0.0000 0.0000 0.6635 1
Rh3 0.5000 0.0000 0.2220 1
Rh4 0.5000 0.0000 0.5535 1
Rh5 0.5000 0.0000 0.8909 1



(7)
# Ti4Bi2O11 PBEsol optimized geometry
# Magnetization in μB per cell: 0.00
# Formation energy without anion corrections in meV per atom: -2546
data_Ti4Bi2O11
_cell_length_a 14.6891
_cell_length_b 3.7705
_cell_length_c 14.9056
_cell_angle_alpha 90.00
_cell_angle_beta 93.50
_cell_angle_gamma 90.00
_symmetry_space_group_name_H-M 'C 1 2/c 1'
_symmetry_Int_Tables_number 15
_symmetry_space_group_name_Hall '-C 2yc'
loop_
_atom_site_label
_atom_site_fract_x
_atom_site_fract_y
_atom_site_fract_z
_atom_site_occupancy
Ti1 0.0537 0.2500 0.1411 1
Ti2 0.1475 0.2482 0.5164 1
Bi1 0.1790 0.2657 0.8204 1
O1 0.0000 0.2561 0.2500 1
O2 0.0524 0.2502 0.4269 1
O3 0.0812 0.2496 0.6307 1
O4 0.1402 0.2508 0.0351 1
O5 0.1834 0.2473 0.2252 1
O6 0.2292 0.2529 0.4155 1



(8)
# CrHgSb2Te PBEsol optimized geometry
# Magnetization in μB per cell: 4.04
# Formation energy without anion corrections in meV per atom: 1163
data_CrHgSb2Te
_cell_length_a 5.4057
_cell_length_b 5.4057
_cell_length_c 5.5744
_cell_angle_alpha 90.00
_cell_angle_beta 90.00
_cell_angle_gamma 90.00
_symmetry_space_group_name_H-M 'P 4/m m m'
_symmetry_Int_Tables_number 123
_symmetry_space_group_name_Hall '-P 4 2'
loop_
_atom_site_label
_atom_site_fract_x
_atom_site_fract_y
_atom_site_fract_z
_atom_site_occupancy
Cr1 0.0000 0.0000 0.0000 1
Hg1 0.5000 0.5000 0.5000 1
Sb1 0.0000 0.5000 0.5000 1
Te1 0.5000 0.5000 0.0000 1



(9)
# Zn2AgCl PBEsol optimized geometry
# Energy relative to the lowest polymorph listed for this composition in meV/atom: 126
# Magnetization in μB per cell: 0.00
# Formation energy without anion corrections in meV per atom: 6
data_Zn2AgCl
_cell_length_a 3.0541
_cell_length_b 5.7032
_cell_length_c 8.4100
_cell_angle_alpha 90.00
_cell_angle_beta 90.00
_cell_angle_gamma 90.00
_symmetry_space_group_name_H-M 'I m m m'
_symmetry_Int_Tables_number 71
_symmetry_space_group_name_Hall '-I 2 2'
loop_
_atom_site_label
_atom_site_fract_x
_atom_site_fract_y
_atom_site_fract_z
_atom_site_occupancy
Zn1 0.0000 0.0000 0.2475 1
Ag1 0.0000 0.5000 0.0000 1
Cl1 0.0000 0.5000 0.5000 1



(10)
# CaMg4Ag PBEsol optimized geometry
# Magnetization in μB per cell: 0.00
# DFT formation energy in meV per atom: 37
data_CaMg4Ag
_cell_length_a 8.2721
_cell_length_b 8.2721
_cell_length_c 8.2721
_cell_angle_alpha 90.00
_cell_angle_beta 90.00
_cell_angle_gamma 90.00
_symmetry_space_group_name_H-M 'F -4 3 m'
_symmetry_Int_Tables_number 216
_symmetry_space_group_name_Hall 'F -4 2 3'
loop_
_atom_site_label
_atom_site_fract_x
_atom_site_fract_y
_atom_site_fract_z
_atom_site_occupancy
Ca1 0.0000 0.0000 0.0000 1
Mg1 0.1243 0.1243 0.3757 1
Ag1 0.2500 0.2500 0.7500 1



(11)
# Nd2CoTe2S2O14 PBEsol optimized geometry
# Magnetization in μB per cell: 3.00
# Formation energy without anion corrections in meV per atom: -1836
data_Nd2CoTe2S2O14
_cell_length_a 5.3704
_cell_length_b 7.9446
_cell_length_c 8.0990
_cell_angle_alpha 63.57
_cell_angle_beta 72.55
_cell_angle_gamma 87.02
_symmetry_space_group_name_H-M 'P -1'
_symmetry_Int_Tables_number 2
_symmetry_space_group_name_Hall '-P 1'
loop_
_atom_site_label
_atom_site_fract_x
_atom_site_fract_y
_atom_site_fract_z
_atom_site_occupancy
Nd1 0.0831 0.2513 0.0175 1
Co1 0.0000 0.0000 0.5000 1
Te1 0.4889 0.7437 0.6390 1
S1 0.2250 0.7516 0.2572 1
O1 0.0698 0.5933 0.2743 1
O2 0.1336 0.7804 0.4337 1
O3 0.1853 0.9225 0.0863 1
O4 0.2515 0.5723 0.8819 1
O5 0.2625 0.9375 0.6524 1
O6 0.2768 0.1882 0.2605 1
O7 0.4952 0.2817 0.7772 1



(12)
# TcTePO2 PBEsol optimized geometry
# Magnetization in μB per cell: 0.00
# Formation energy without anion corrections in meV per atom: -617
data_TcTePO2
_cell_length_a 3.7468
_cell_length_b 3.7468
_cell_length_c 5.4506
_cell_angle_alpha 90.00
_cell_angle_beta 90.00
_cell_angle_gamma 90.00
_symmetry_space_group_name_H-M 'P 4/m m m'
_symmetry_Int_Tables_number 123
_symmetry_space_group_name_Hall '-P 4 2'
loop_
_atom_site_label
_atom_site_fract_x
_atom_site_fract_y
_atom_site_fract_z
_atom_site_occupancy
Tc1 0.0000 0.0000 0.0000 1
Te1 0.5000 0.5000 0.5000 1
P1 0.0000 0.0000 0.5000 1
O1 0.0000 0.5000 0.0000 1



(13)
# Ag2Au PBEsol optimized geometry
# Energy relative to the lowest polymorph listed for this composition in meV/atom: 35
# Magnetization in μB per cell: 0.00
# DFT formation energy in meV per atom: -14
data_Ag2Au
_cell_length_a 4.5547
_cell_length_b 4.5547
_cell_length_c 2.7935
_cell_angle_alpha 90.00
_cell_angle_beta 90.00
_cell_angle_gamma 120.00
_symmetry_space_group_name_H-M 'P -3 m 1'
_symmetry_Int_Tables_number 164
_symmetry_space_group_name_Hall '-P 3 2"'
loop_
_atom_site_label
_atom_site_fract_x
_atom_site_fract_y
_atom_site_fract_z
_atom_site_occupancy
Ag1 0.3333 0.6667 0.1659 1
Au1 0.0000 0.0000 0.5000 1



(14)
# LiTiO2 PBEsol optimized geometry
# Magnetization in μB per cell: 0.00
# Formation energy without anion corrections in meV per atom: -2637
data_LiTiO2
_cell_length_a 2.8640
_cell_length_b 2.8640
_cell_length_c 10.0964
_cell_angle_alpha 90.00
_cell_angle_beta 90.00
_cell_angle_gamma 120.00
_symmetry_space_group_name_H-M 'P 63 m c'
_symmetry_Int_Tables_number 186
_symmetry_space_group_name_Hall 'P 6c -2c'
loop_
_atom_site_label
_atom_site_fract_x
_atom_site_fract_y
_atom_site_fract_z
_atom_site_occupancy
Li1 0.3333 0.6667 0.0000 1
Ti1 0.3333 0.6667 0.7406 1
O1 0.0000 0.0000 0.1213 1
O2 0.3333 0.6667 0.3585 1



(15)
# Re2Ni2Br PBEsol optimized geometry
# Magnetization in μB per cell: 0.00
# Formation energy without anion corrections in meV per atom: 954
data_Re2Ni2Br
_cell_length_a 3.3917
_cell_length_b 3.3917
_cell_length_c 12.4863
_cell_angle_alpha 90.00
_cell_angle_beta 90.00
_cell_angle_gamma 90.00
_symmetry_space_group_name_H-M 'I 4/m m m'
_symmetry_Int_Tables_number 139
_symmetry_space_group_name_Hall '-I 4 2'
loop_
_atom_site_label
_atom_site_fract_x
_atom_site_fract_y
_atom_site_fract_z
_atom_site_occupancy
Re1 0.0000 0.0000 0.1062 1
Ni1 0.0000 0.5000 0.2500 1
Br1 0.0000 0.0000 0.5000 1



(16)
# Y2AuSe2 PBEsol optimized geometry
# Magnetization in μB per cell: 0.00
# Formation energy without anion corrections in meV per atom: -1075
data_Y2AuSe2
_cell_length_a 5.1480
_cell_length_b 5.1480
_cell_length_c 9.9037
_cell_angle_alpha 90.00
_cell_angle_beta 90.00
_cell_angle_gamma 90.00
_symmetry_space_group_name_H-M 'I 4/m m m'
_symmetry_Int_Tables_number 139
_symmetry_space_group_name_Hall '-I 4 2'
loop_
_atom_site_label
_atom_site_fract_x
_atom_site_fract_y
_atom_site_fract_z
_atom_site_occupancy
Y1 0.0000 0.5000 0.2500 1
Au1 0.0000 0.0000 0.0000 1
Se1 0.0000 0.0000 0.3458 1



(17)
# LiZr2Br PBEsol optimized geometry
# Energy relative to the lowest polymorph listed for this composition in meV/atom: 174
# Magnetization in μB per cell: 0.00
# Formation energy without anion corrections in meV per atom: -202
data_LiZr2Br
_cell_length_a 3.2767
_cell_length_b 3.4532
_cell_length_c 14.8682
_cell_angle_alpha 90.00
_cell_angle_beta 90.00
_cell_angle_gamma 90.00
_symmetry_space_group_name_H-M 'I m m m'
_symmetry_Int_Tables_number 71
_symmetry_space_group_name_Hall '-I 2 2'
loop_
_atom_site_label
_atom_site_fract_x
_atom_site_fract_y
_atom_site_fract_z
_atom_site_occupancy
Li1 0.0000 0.0000 0.0000 1
Zr1 0.0000 0.5000 0.1867 1
Br1 0.0000 0.0000 0.5000 1



(18)
# Li4BH10N3 PBEsol optimized geometry
# Magnetization in μB per cell: 0.00
# Electronic total energy in eV per atom: -4.564
data_Li4BH10N3
_cell_length_a 10.3918
_cell_length_b 10.3918
_cell_length_c 10.3918
_cell_angle_alpha 90.00
_cell_angle_beta 90.00
_cell_angle_gamma 90.00
_symmetry_space_group_name_H-M 'I 21 3'
_symmetry_Int_Tables_number 199
_symmetry_space_group_name_Hall 'I 2b 2c 3'
loop_
_atom_site_label
_atom_site_fract_x
_atom_site_fract_y
_atom_site_fract_z
_atom_site_occupancy
Li1 0.0000 0.2500 0.2808 1
Li2 0.0000 0.2500 0.5180 1
Li3 0.0170 0.4830 0.5170 1
B1 0.1111 0.1111 0.1111 1
H1 0.0025 0.3830 0.1441 1
H2 0.0828 0.3189 0.8819 1
H3 0.1090 0.1995 0.6953 1
H4 0.1794 0.1794 0.1794 1
N1 0.0992 0.1183 0.6391 1



(19)
# CuBiSb2 PBEsol optimized geometry
# Magnetization in μB per cell: 0.00
# Formation energy without anion corrections in meV per atom: 200
data_CuBiSb2
_cell_length_a 6.2244
_cell_length_b 6.2244
_cell_length_c 12.6775
_cell_angle_alpha 90.00
_cell_angle_beta 90.00
_cell_angle_gamma 90.00
_symmetry_space_group_name_H-M 'I -4 2 d'
_symmetry_Int_Tables_number 122
_symmetry_space_group_name_Hall 'I -4 2bw'
loop_
_atom_site_label
_atom_site_fract_x
_atom_site_fract_y
_atom_site_fract_z
_atom_site_occupancy
Cu1 0.0000 0.0000 0.0000 1
Bi1 0.0000 0.0000 0.5000 1
Sb1 0.1832 0.2500 0.1250 1



(20)
# ZnTcRh2 PBEsol optimized geometry
# Magnetization in μB per cell: 2.00
# DFT formation energy in meV per atom: -89
data_ZnTcRh2
_cell_length_a 3.8037
_cell_length_b 3.8037
_cell_length_c 7.4467
_cell_angle_alpha 90.00
_cell_angle_beta 90.00
_cell_angle_gamma 90.00
_symmetry_space_group_name_H-M 'I 4/m m m'
_symmetry_Int_Tables_number 139
_symmetry_space_group_name_Hall '-I 4 2'
loop_
_atom_site_label
_atom_site_fract_x
_atom_site_fract_y
_atom_site_fract_z
_atom_site_occupancy
Zn1 0.0000 0.0000 0.0000 1
Tc1 0.0000 0.0000 0.5000 1
Rh1 0.0000 0.5000 0.2500 1